Entry from Alexandria: a geometry-optimized ZrTlRh2 structure (PBE-GGA).

Values from the calculation:
DFT formation energy, eV/atom: -0.465
E_tot, eV/cell: -27.5
DOS(E_F), states/eV/atom: 0.456

abc: 3.3655 3.4351 6.2359
angles: 90.00 90.00 90.00
Closest atoms and distances in Å follow each position.
Space group Pmmm (No. 47)
Unique sites:
Zr (0.0000, 0.0000, 0.0000) [1 per cell]  8 Rh 2.83, 2 Tl 3.12
Tl (0.0000, 0.0000, 0.5000) [1 per cell]  8 Rh 2.90, 2 Zr 3.12
Rh (0.5000, 0.5000, 0.2391) [2 per cell]  4 Zr 2.83, 4 Tl 2.90, 1 Rh 2.98



Entry from Alexandria: a geometry-optimized Er12NiSn6 structure (PBE-GGA).

Values from the calculation:
DFT formation energy, eV/atom: -0.368
E_tot, eV/cell: -274.6
DOS(E_F), states/eV/atom: 0.873

abc: 12.9987 12.9987 12.0738
angles: 90.00 90.00 120.00
Closest atoms and distances in Å follow each position.
Space group R-3 (No. 148, hexagonal axes)
Unique sites:
Er (0.0309, 0.1941, 0.3919) [18 per cell]  4 Sn 3.05-3.21
Er (0.0617, 0.1921, 0.8829) [18 per cell]  1 Ni 2.62
Ni (0.0000, 0.0000, 0.0000) [3 per cell]  6 Er 2.62
Sn (0.0461, 0.2831, 0.6424) [18 per cell]  7 Er 3.05-3.23



Entry from Alexandria: a geometry-optimized Ti4SnPd5 structure (PBE-GGA).

Values from the calculation:
DFT formation energy, eV/atom: -0.294
E_tot, eV/cell: -129.0
DOS(E_F), states/eV/atom: 0.686

abc: 8.0522 8.0522 5.4236
angles: 90.00 90.00 90.00
Closest atoms and distances in Å follow each position.
Space group I4 (No. 79)
Unique sites:
Ti (0.0770, 0.3134, 0.0000) [8 per cell]  6 Pd 2.54-2.82
Sn (0.0000, 0.0000, 0.2774) [2 per cell]  6 Pd 2.58-2.84
Pd (0.0000, 0.0000, 0.8019) [2 per cell]  2 Sn 2.58-2.84, 4 Ti 2.81, 4 Pd 2.82
Pd (0.1031, 0.2735, 0.5152) [8 per cell]  5 Ti 2.54-2.82, 1 Sn 2.68, 1 Pd 2.82



Entry from Alexandria: a geometry-optimized TaMo3C structure (PBE-GGA).

Values from the calculation:
DFT formation energy, eV/atom: 0.056
E_tot, eV/cell: -53.3
Excess energy over the best structure of this formula in the dataset, meV per atom: 0
DOS(E_F), states/eV/atom: 0.783

abc: 4.1908 4.1908 4.1908
angles: 90.00 90.00 90.00
Closest atoms and distances in Å follow each position.
Space group Pm-3m (No. 221)
Unique sites:
Ta (0.0000, 0.0000, 0.0000) [1 per cell]  12 Mo 2.96
Mo (0.0000, 0.5000, 0.5000) [3 per cell]  2 C 2.10
C (0.5000, 0.5000, 0.5000) [1 per cell]  6 Mo 2.10



Entry from Alexandria: a geometry-optimized K2NaScBr6 structure (PBE-GGA).

Values from the calculation:
E_tot, eV/cell: -74.0
Energy relative to the elements, uncorrected, eV per atom: -1.713
Excess energy over the best structure of this formula in the dataset, meV per atom: 0
DOS(E_F), states/eV/atom: 0.000

abc: 7.5866 7.9353 13.1968
angles: 90.00 124.70 90.00
Closest atoms and distances in Å follow each position.
Space group P2_1/c (No. 14)
Unique sites:
K (0.2253, 0.0731, 0.2494) [4 per cell]  6 Br 3.34-3.55
Na (0.0000, 0.0000, 0.5000) [2 per cell]  6 Br 2.96-3.01
Sc (0.5000, 0.0000, 0.0000) [2 per cell]  6 Br 2.67-2.68
Br (0.1668, 0.1858, 0.9534) [4 per cell]  1 Sc 2.68
Br (0.2707, 0.7175, 0.9519) [4 per cell]  1 Sc 2.68
Br (0.3585, 0.0207, 0.7634) [4 per cell]  1 Sc 2.67, 1 Na 2.96



Entry from Alexandria: a geometry-optimized CeSmYHo structure (PBE-GGA).

Values from the calculation:
DFT formation energy, eV/atom: 0.166
E_tot, eV/cell: -84.1
DOS(E_F), states/eV/atom: 2.605

abc: 8.0419 8.0419 8.0419
angles: 90.00 90.00 90.00
Closest atoms and distances in Å follow each position.
Space group F-43m (No. 216)
Unique sites:
Ce (0.0000, 0.0000, 0.0000) [4 per cell]  4 Ho 3.48, 4 Y 3.48
Sm (0.0000, 0.0000, 0.5000) [4 per cell]  4 Ho 3.48, 4 Y 3.48
Y (0.2500, 0.2500, 0.2500) [4 per cell]  4 Ce 3.48, 4 Sm 3.48
Ho (0.2500, 0.2500, 0.7500) [4 per cell]  4 Ce 3.48, 4 Sm 3.48



Entry from Alexandria: a geometry-optimized PrHoPd2 structure (PBE-GGA).

Values from the calculation:
DFT formation energy, eV/atom: -0.705
E_tot, eV/cell: -67.7
Excess energy over the best structure of this formula in the dataset, meV per atom: 140
DOS(E_F), states/eV/atom: 0.601

abc: 4.1904 4.1904 19.9408
angles: 90.00 90.00 120.00
Closest atoms and distances in Å follow each position.
Space group R-3m (No. 166, hexagonal axes)
Unique sites:
Pr (0.0000, 0.0000, 0.0000) [3 per cell]  6 Pd 3.01
Ho (0.0000, 0.0000, 0.5000) [3 per cell]  6 Pd 2.86
Pd (0.0000, 0.0000, 0.2435) [6 per cell]  3 Ho 2.86, 3 Pr 3.01



Entry from Alexandria: a geometry-optimized Dy4Ga12Fe structure (PBE-GGA).

Values from the calculation:
DFT formation energy, eV/atom: -0.537
E_tot, eV/cell: -144.6
DOS(E_F), states/eV/atom: 0.452

abc: 8.5813 8.5813 8.5813
angles: 90.00 90.00 90.00
Closest atoms and distances in Å follow each position.
Space group Im-3m (No. 229)
Unique sites:
Dy (0.2500, 0.2500, 0.2500) [8 per cell]  12 Ga 3.03-3.05
Ga (0.0000, 0.0000, 0.2847) [12 per cell]  1 Fe 2.44
Ga (0.0000, 0.2500, 0.5000) [12 per cell]  8 Ga 2.83-3.03, 4 Dy 3.03
Fe (0.0000, 0.0000, 0.0000) [2 per cell]  6 Ga 2.44



Entry from Alexandria: a geometry-optimized BaBeAgHg2 structure (PBE-GGA).

Values from the calculation:
DFT formation energy, eV/atom: -0.123
E_tot, eV/cell: -9.7
DOS(E_F), states/eV/atom: 0.383

abc: 4.9785 4.9785 5.0066
angles: 90.00 90.00 90.00
Closest atoms and distances in Å follow each position.
Space group P4/mmm (No. 123)
Unique sites:
Ba (0.0000, 0.0000, 0.0000) [1 per cell]  4 Ag 3.52, 8 Hg 3.53
Be (0.5000, 0.5000, 0.5000) [1 per cell]  4 Hg 2.49, 2 Ag 2.50
Ag (0.5000, 0.5000, 0.0000) [1 per cell]  2 Be 2.50
Hg (0.0000, 0.5000, 0.5000) [2 per cell]  2 Be 2.49



Entry from Alexandria: a geometry-optimized YInRh2 structure (PBE-GGA).

Values from the calculation:
DFT formation energy, eV/atom: -0.257
E_tot, eV/cell: -99.7
DOS(E_F), states/eV/atom: 1.209

abc: 6.7268 6.7268 6.7268
angles: 90.00 90.00 90.00
Closest atoms and distances in Å follow each position.
Space group F-43m (No. 216)
Unique sites:
Y (0.0000, 0.0000, 0.0000) [4 per cell]  4 In 2.91, 4 Rh 2.91
In (0.2500, 0.2500, 0.2500) [4 per cell]  4 Rh 2.91, 4 Y 2.91
Rh (0.0000, 0.0000, 0.5000) [4 per cell]  4 Rh 2.91, 4 In 2.91
Rh (0.2500, 0.2500, 0.7500) [4 per cell]  4 Y 2.91, 4 Rh 2.91



Entry from Alexandria: a geometry-optimized BeRu2 structure (PBE-GGA).

Values from the calculation:
DFT formation energy, eV/atom: 0.405
E_tot, eV/cell: -84.2
DOS(E_F), states/eV/atom: 1.856

abc: 5.3914 5.3914 5.3914
angles: 90.00 90.00 90.00
Closest atoms and distances in Å follow each position.
Space group Fm-3m (No. 225)
Unique sites:
Be (0.0000, 0.0000, 0.0000) [4 per cell]  8 Ru 2.33
Ru (0.2500, 0.2500, 0.2500) [8 per cell]  4 Be 2.33